(i)
# SrTa2V

An optimized crystal structure of SrTa2V (PBE-GGA, the Alexandria database).

CIF file:
```
data_SrTa2V
_cell_length_a 5.187
_cell_length_b 5.187
_cell_length_c 17.419
_cell_angle_alpha 90.00
_cell_angle_beta 90.00
_cell_angle_gamma 90.00
_space_group_name_H-M_alt 'I -4 2 d'
_space_group_IT_number 122
_space_group_name_Hall 'I -4 2bw'
loop_
_atom_site_label
_atom_site_type_symbol
_atom_site_fract_x
_atom_site_fract_y
_atom_site_fract_z
Sr1 Sr 0.000 0.000 0.000
Ta1 Ta 0.001 0.750 0.625
V1 V 0.000 0.000 0.500
```

Output
M_tot = 0.00 μB/atom
N(E_F) = 1.54 states/eV per atom
V = 29.288 Å³/atom

---

(ii)
# SrTa2V

An optimized crystal structure of SrTa2V (PBE-GGA, the Alexandria database).

CIF file:
```
data_SrTa2V
_cell_length_a 6.837
_cell_length_b 6.837
_cell_length_c 6.837
_cell_angle_alpha 90.00
_cell_angle_beta 90.00
_cell_angle_gamma 90.00
_space_group_name_H-M_alt 'F m -3 m'
_space_group_IT_number 225
_space_group_name_Hall '-F 4 2 3'
loop_
_atom_site_label
_atom_site_type_symbol
_atom_site_fract_x
_atom_site_fract_y
_atom_site_fract_z
Sr1 Sr 0.000 0.000 0.000
Ta1 Ta 0.250 0.250 0.250
V1 V 0.000 0.000 0.500
```

Output
M_tot = 0.18 μB/atom
N(E_F) = 2.05 states/eV per atom
V = 19.977 Å³/atom

---

Q: What are the energies relative to the best structure? A: (i) 31.1; (ii) 0.0, in kJ/mol of atoms.

---

(i)
# SrYTa

An optimized crystal structure of SrYTa (PBE-GGA, the Alexandria database).

CIF file:
```
data_SrYTa
_cell_length_a 7.562
_cell_length_b 7.562
_cell_length_c 7.562
_cell_angle_alpha 90.00
_cell_angle_beta 90.00
_cell_angle_gamma 90.00
_space_group_name_H-M_alt 'F -4 3 m'
_space_group_IT_number 216
_space_group_name_Hall 'F -4 2 3'
loop_
_atom_site_label
_atom_site_type_symbol
_atom_site_fract_x
_atom_site_fract_y
_atom_site_fract_z
Sr1 Sr 0.000 0.000 0.000
Y1 Y 0.000 0.000 0.500
Ta1 Ta 0.250 0.250 0.250
```

Output
M_tot = 1.18 μB/atom
N(E_F) = 1.79 states/eV per atom
V = 36.042 Å³/atom

---

(ii)
# SrYTa

An optimized crystal structure of SrYTa (PBE-GGA, the Alexandria database).

CIF file:
```
data_SrYTa
_cell_length_a 5.5458
_cell_length_b 5.5458
_cell_length_c 3.0556
_cell_angle_alpha 90.00
_cell_angle_beta 90.00
_cell_angle_gamma 120.00
_space_group_name_H-M_alt 'P -6 m 2'
_space_group_IT_number 187
_space_group_name_Hall 'P -6 2'
loop_
_atom_site_label
_atom_site_type_symbol
_atom_site_fract_x
_atom_site_fract_y
_atom_site_fract_z
Sr1 Sr 0.0000 0.0000 0.0000
Y1 Y 0.3333 0.6667 0.0000
Ta1 Ta 0.6667 0.3333 0.5000
```

Output
M_tot = 0.00 μB/atom
N(E_F) = 1.43 states/eV per atom
V = 27.129 Å³/atom

---

(iii)
# SrYTa

An optimized crystal structure of SrYTa (PBE-GGA, the Alexandria database).

CIF file:
```
data_SrYTa
_cell_length_a 3.343
_cell_length_b 4.407
_cell_length_c 12.177
_cell_angle_alpha 90.00
_cell_angle_beta 90.00
_cell_angle_gamma 90.00
_space_group_name_H-M_alt 'I m m 2'
_space_group_IT_number 44
loop_
_space_group_symop_operation_xyz
'x,y,z'
'-x,-y,z'
'-x,y,z'
'x,-y,z'
'x+1/2,y+1/2,z+1/2'
'-x+1/2,-y+1/2,z+1/2'
'-x+1/2,y+1/2,z+1/2'
'x+1/2,-y+1/2,z+1/2'
loop_
_atom_site_label
_atom_site_type_symbol
_atom_site_fract_x
_atom_site_fract_y
_atom_site_fract_z
Sr1 Sr 0.000 0.000 0.000
Y1 Y 0.000 0.000 0.711
Ta1 Ta 0.000 0.000 0.322
```

Output
M_tot = 0.00 μB/atom
N(E_F) = 1.41 states/eV per atom
V = 29.897 Å³/atom

---

Q: What are the energies relative to the best structure? A: (i) 56.2; (ii) 7.9; (iii) 0.0, in kJ/mol of atoms.

---

(i)
# SrYTa

An optimized crystal structure of SrYTa (PBE-GGA, the Alexandria database).

CIF file:
```
data_SrYTa
_cell_length_a 3.3751
_cell_length_b 3.3751
_cell_length_c 8.7984
_cell_angle_alpha 90.00
_cell_angle_beta 90.00
_cell_angle_gamma 120.00
_space_group_name_H-M_alt 'P 3 m 1'
_space_group_IT_number 156
loop_
_space_group_symop_operation_xyz
'x,y,z'
'-y,x-y,z'
'-x+y,-x,z'
'-y,-x,z'
'-x+y,y,z'
'x,x-y,z'
loop_
_atom_site_label
_atom_site_type_symbol
_atom_site_fract_x
_atom_site_fract_y
_atom_site_fract_z
Sr1 Sr 0.0000 0.0000 0.0000
Y1 Y 0.3333 0.6667 0.5949
Ta1 Ta 0.6667 0.3333 0.3187
```

Output
M_tot = 0.00 μB/atom
N(E_F) = 0.73 states/eV per atom
V = 28.933 Å³/atom

---

(ii)
# SrYTa

An optimized crystal structure of SrYTa (PBE-GGA, the Alexandria database).

CIF file:
```
data_SrYTa
_cell_length_a 4.624
_cell_length_b 4.635
_cell_length_c 16.553
_cell_angle_alpha 90.00
_cell_angle_beta 90.00
_cell_angle_gamma 90.00
_space_group_name_H-M_alt 'F m m 2'
_space_group_IT_number 42
_space_group_name_Hall 'F 2 -2'
loop_
_atom_site_label
_atom_site_type_symbol
_atom_site_fract_x
_atom_site_fract_y
_atom_site_fract_z
Sr1 Sr 0.000 0.000 0.000
Y1 Y 0.000 0.000 0.710
Ta1 Ta 0.000 0.000 0.338
```

Output
M_tot = 0.00 μB/atom
N(E_F) = 0.99 states/eV per atom
V = 29.564 Å³/atom

---

Q: What are the energies relative to the best structure? A: (i) 10.2; (ii) 0.0, in kJ/mol of atoms.